(1)
Material: SrCu2ReBr
Method: DFT, PBE
State: relaxed

Summary:
formation energy without anion corrections = 0.72 eV/atom
DFT total energy = -0.2996 Ry/atom

Cell: 4.6788 4.6788 6.3268 Å, 90.00 90.00 90.00°
With the nearest neighbours (Å) after each atom.
Space group P4/mmm (No. 123)
Symmetry-distinct sites (fractional):
Sr (0.0000, 0.0000, 0.0000) [1 per cell]  2 Re 3.16, 4 Br 3.31
Cu (0.0000, 0.5000, 0.5000) [2 per cell]  2 Re 2.34
Re (0.0000, 0.0000, 0.5000) [1 per cell]  4 Cu 2.34
Br (0.5000, 0.5000, 0.0000) [1 per cell]  4 Sr 3.31

(2)
Material: Ta2CuReBr
Method: DFT, PBE
State: relaxed

Summary:
formation energy without anion corrections = 1.92 eV/atom
DFT total energy = -0.4749 Ry/atom

Cell: 4.7929 4.7929 4.3091 Å, 90.00 90.00 90.00°
With the nearest neighbours (Å) after each atom.
Space group P4/mmm (No. 123)
Symmetry-distinct sites (fractional):
Ta (0.0000, 0.5000, 0.0000) [2 per cell]  2 Cu 2.40
Cu (0.0000, 0.0000, 0.0000) [1 per cell]  2 Br 2.15, 4 Ta 2.40
Re (0.5000, 0.5000, 0.5000) [1 per cell]  8 Ta 3.22, 4 Br 3.39
Br (0.0000, 0.0000, 0.5000) [1 per cell]  2 Cu 2.15

(3)
Material: TlCu2ReBr
Method: DFT, PBE
State: relaxed

Summary:
formation energy without anion corrections = 1.47 eV/atom
DFT total energy = -0.2548 Ry/atom

Cell: 4.6598 4.6598 4.9311 Å, 90.00 90.00 90.00°
With the nearest neighbours (Å) after each atom.
Space group P4/mmm (No. 123)
Symmetry-distinct sites (fractional):
Tl (0.0000, 0.0000, 0.0000) [1 per cell]  4 Re 3.29, 8 Cu 3.39
Cu (0.0000, 0.5000, 0.5000) [2 per cell]  2 Br 2.33
Re (0.5000, 0.5000, 0.0000) [1 per cell]  2 Br 2.47
Br (0.5000, 0.5000, 0.5000) [1 per cell]  4 Cu 2.33, 2 Re 2.47

(4)
Material: Cu2RhBr
Method: DFT, PBE
State: relaxed

Summary:
formation energy without anion corrections = 0.31 eV/atom
energy above the lowest structure with this stoichiometry = 39 meV per atom
DFT total energy = -0.2936 Ry/atom

Cell: 2.9997 3.1910 6.9378 Å, 90.00 90.00 90.00°
With the nearest neighbours (Å) after each atom.
Space group Pmmm (No. 47)
Symmetry-distinct sites (fractional):
Cu (0.0000, 0.0000, 0.2029) [2 per cell]  4 Rh 2.60, 2 Br 2.61, 1 Cu 2.82
Rh (0.5000, 0.5000, 0.0000) [1 per cell]  8 Cu 2.60
Br (0.0000, 0.5000, 0.5000) [1 per cell]  4 Cu 2.61

(5)
Material: CuRhBr3
Method: DFT, PBE
State: relaxed

Summary:
formation energy without anion corrections = 0.30 eV/atom
energy above the lowest structure with this stoichiometry = 0 meV per atom
DFT total energy = -0.2203 Ry/atom

Cell: 5.0520 5.0520 5.0520 Å, 90.00 90.00 90.00°
With the nearest neighbours (Å) after each atom.
Space group Pm-3m (No. 221)
Symmetry-distinct sites (fractional):
Cu (0.0000, 0.0000, 0.0000) [1 per cell]  12 Br 3.57
Rh (0.5000, 0.5000, 0.5000) [1 per cell]  6 Br 2.53
Br (0.0000, 0.5000, 0.5000) [3 per cell]  2 Rh 2.53

(6)
Material: Cu2RhBr
Method: DFT, PBE
State: relaxed

Summary:
formation energy without anion corrections = 0.62 eV/atom
energy above the lowest structure with this stoichiometry = 345 meV per atom
DFT total energy = -0.2711 Ry/atom

Cell: 6.2641 6.2641 6.2641 Å, 90.00 90.00 90.00°
With the nearest neighbours (Å) after each atom.
Space group Fm-3m (No. 225)
Symmetry-distinct sites (fractional):
Cu (0.2500, 0.2500, 0.2500) [8 per cell]  4 Br 2.71, 4 Rh 2.71
Rh (0.0000, 0.0000, 0.0000) [4 per cell]  8 Cu 2.71
Br (0.0000, 0.0000, 0.5000) [4 per cell]  8 Cu 2.71

(7)
Material: Cu2RhBr
Method: DFT, PBE
State: relaxed

Summary:
formation energy without anion corrections = 0.27 eV/atom
energy above the lowest structure with this stoichiometry = 0 meV per atom
DFT total energy = -0.2965 Ry/atom

Cell: 3.1887 3.1005 6.7317 Å, 90.00 90.05 90.00°
With the nearest neighbours (Å) after each atom.
Space group Pm (No. 6)
Symmetry-distinct sites (fractional):
Cu (0.0000, 0.0000, 0.0000) [1 per cell]  4 Cu 2.56, 4 Rh 2.58
Cu (0.5003, 0.5000, 0.1887) [1 per cell]  4 Cu 2.56, 1 Rh 2.58, 2 Br 2.61
Rh (0.4997, 0.5000, 0.8050) [1 per cell]  2 Br 2.57, 5 Cu 2.58
Br (0.4982, 0.0000, 0.5002) [1 per cell]  2 Rh 2.57, 2 Cu 2.61

(8)
Material: Cu2RhBr
Method: DFT, PBE
State: relaxed

Summary:
formation energy without anion corrections = 0.47 eV/atom
energy above the lowest structure with this stoichiometry = 195 meV per atom
DFT total energy = -0.2822 Ry/atom

Cell: 5.1554 7.5034 3.1611 Å, 90.00 90.00 90.00°
With the nearest neighbours (Å) after each atom.
Space group Cmmm (No. 65)
Symmetry-distinct sites (fractional):
Cu (0.2500, 0.2500, 0.0000) [4 per cell]  2 Cu 2.58, 4 Rh 2.77, 4 Br 2.77
Rh (0.0000, 0.0000, 0.5000) [2 per cell]  2 Br 2.58, 8 Cu 2.77
Br (0.0000, 0.5000, 0.5000) [2 per cell]  2 Rh 2.58, 8 Cu 2.77

(9)
Material: CuRh4Br
Method: DFT, PBE
State: relaxed

Summary:
formation energy without anion corrections = 0.75 eV/atom
DFT total energy = -0.3759 Ry/atom

Cell: 7.3584 7.3584 7.3584 Å, 90.00 90.00 90.00°
With the nearest neighbours (Å) after each atom.
Space group F-43m (No. 216)
Symmetry-distinct sites (fractional):
Cu (0.0000, 0.0000, 0.0000) [4 per cell]  12 Rh 3.05, 4 Br 3.19
Rh (0.1247, 0.1247, 0.6247) [16 per cell]  6 Rh 2.60-2.61
Br (0.2500, 0.2500, 0.2500) [4 per cell]  12 Rh 3.05, 4 Cu 3.19

(10)
Material: Cu2RhBr
Method: DFT, PBE
State: relaxed

Summary:
formation energy without anion corrections = 0.31 eV/atom
energy above the lowest structure with this stoichiometry = 41 meV per atom
DFT total energy = -0.2935 Ry/atom

Cell: 2.9990 3.9544 11.8405 Å, 90.00 90.00 90.00°
With the nearest neighbours (Å) after each atom.
Space group Imm2 (No. 44)
Symmetry-distinct sites (fractional):
Cu (0.0000, 0.0000, 0.0000) [2 per cell]  2 Cu 2.45, 4 Rh 2.57
Cu (0.0000, 0.5000, 0.1226) [2 per cell]  2 Cu 2.45, 2 Rh 2.60
Rh (0.0000, 0.0000, 0.4427) [2 per cell]  2 Br 2.55, 6 Cu 2.57-2.60
Br (0.0000, 0.5000, 0.7690) [2 per cell]  2 Rh 2.55

(11)
Material: Cu2RhBr
Method: DFT, PBE
State: relaxed

Summary:
formation energy without anion corrections = 0.52 eV/atom
energy above the lowest structure with this stoichiometry = 253 meV per atom
DFT total energy = -0.2779 Ry/atom

Cell: 2.9356 5.0877 8.4690 Å, 90.00 90.00 90.00°
With the nearest neighbours (Å) after each atom.
Space group Cmm2 (No. 35)
Symmetry-distinct sites (fractional):
Cu (0.0000, 0.0000, 0.0000) [2 per cell]  2 Cu 2.43, 2 Br 2.68
Cu (0.0000, 0.5000, 0.2292) [2 per cell]  2 Cu 2.43, 2 Rh 2.53
Rh (0.0000, 0.0000, 0.4719) [2 per cell]  2 Cu 2.53, 2 Br 2.67
Br (0.0000, 0.5000, 0.7351) [2 per cell]  2 Rh 2.67, 2 Cu 2.68, 6 Br 2.94

(12)
Material: Cu2RhBr
Method: DFT, PBE
State: relaxed

Summary:
formation energy without anion corrections = 0.46 eV/atom
energy above the lowest structure with this stoichiometry = 193 meV per atom
DFT total energy = -0.2823 Ry/atom

Cell: 3.0693 4.4131 8.9228 Å, 90.00 90.00 90.00°
With the nearest neighbours (Å) after each atom.
Space group Immm (No. 71)
Symmetry-distinct sites (fractional):
Cu (0.0000, 0.0000, 0.2499) [4 per cell]  4 Cu 2.69, 2 Br 2.71, 2 Rh 2.71
Rh (0.0000, 0.5000, 0.0000) [2 per cell]  4 Br 2.69, 4 Cu 2.71
Br (0.0000, 0.5000, 0.5000) [2 per cell]  4 Rh 2.69, 4 Cu 2.71

Q: The lowest formation energy without anion corrections belongs to which entry?
A: number 7